Entry from Alexandria via LeMat-Bulk: a relaxed structure of ZnHg3Cl2F6 (PBE).

Cell lengths 6.822, 6.822, 5.636 Å; angles 92.62, 92.62, 63.04 degrees
Element x y z (fractional)
Zn (0.000, 0.000, 0.000)
Hg (0.000, 0.500, 0.000)
Hg (0.500, 0.000, 0.000)
Hg (0.500, 0.500, 0.500)
Cl (0.312, 0.312, 0.639)
Cl (0.688, 0.688, 0.361)
F (0.144, 0.699, 0.187)
F (0.152, 0.152, 0.188)
F (0.301, 0.856, 0.813)
F (0.699, 0.144, 0.187)
F (0.848, 0.848, 0.812)
F (0.856, 0.301, 0.813)

Calculated values
E_form (uncorrected) ... -1.39 eV per atom

---

Entry from Alexandria via LeMat-Bulk: a relaxed structure of KHo2Cl2F5 (PBE).

Cell lengths 9.742, 9.742, 3.442 Å; angles 90.00, 90.00, 90.00 degrees
Element x y z (fractional)
K (0.000, 0.000, 0.000)
K (0.500, 0.500, 0.000)
Ho (0.130, 0.370, 0.000)
Ho (0.370, 0.870, 0.000)
Ho (0.630, 0.130, 0.000)
Ho (0.870, 0.630, 0.000)
Cl (0.166, 0.666, 0.000)
Cl (0.334, 0.166, 0.000)
Cl (0.666, 0.834, 0.000)
Cl (0.834, 0.334, 0.000)
F (0.000, 0.500, 0.500)
F (0.078, 0.230, 0.500)
F (0.230, 0.922, 0.500)
F (0.270, 0.422, 0.500)
F (0.422, 0.730, 0.500)
F (0.500, 0.000, 0.500)
F (0.578, 0.270, 0.500)
F (0.730, 0.578, 0.500)
F (0.770, 0.078, 0.500)
F (0.922, 0.770, 0.500)

Calculated values
E_form (uncorrected) ... -3.27 eV per atom

---

Entry from Alexandria via LeMat-Bulk: a relaxed structure of I2Cl7F2 (PBE).

Cell lengths 7.306, 7.306, 15.609 Å; angles 102.30, 102.30, 73.57 degrees
Element x y z (fractional)
I (0.000, 0.341, 0.179)
I (0.000, 0.659, 0.821)
I (0.341, 0.000, 0.679)
I (0.659, 0.000, 0.321)
Cl (0.014, 0.872, 0.369)
Cl (0.128, 0.986, 0.131)
Cl (0.206, 0.446, 0.112)
Cl (0.228, 0.337, 0.320)
Cl (0.279, 0.721, 0.750)
Cl (0.337, 0.228, 0.820)
Cl (0.446, 0.206, 0.612)
Cl (0.554, 0.794, 0.388)
Cl (0.663, 0.772, 0.180)
Cl (0.721, 0.279, 0.250)
Cl (0.772, 0.663, 0.680)
Cl (0.794, 0.554, 0.888)
Cl (0.872, 0.014, 0.869)
Cl (0.986, 0.128, 0.631)
F (0.181, 0.660, 0.935)
F (0.340, 0.819, 0.565)
F (0.660, 0.181, 0.435)
F (0.819, 0.340, 0.065)

Calculated values
E_form (uncorrected) ... -0.32 eV per atom

---

Entry from Alexandria via LeMat-Bulk: a relaxed structure of IClF (PBE).

Cell lengths 4.945, 5.591, 7.630 Å; angles 82.78, 88.82, 72.64 degrees
Element x y z (fractional)
I (0.000, 0.000, 0.000)
I (0.260, 0.514, 0.285)
Cl (0.301, 0.790, 0.490)
Cl (0.769, 0.316, 0.770)
F (0.249, 0.231, 0.075)
F (0.767, 0.793, 0.937)

Calculated values
Energy above the lowest structure with this stoichiometry ... 0 meV/atom
E_form (uncorrected) ... -0.67 eV per atom